Entry from Alexandria: a PBEsol-optimized structure of CaLaC2 (SCAN).

Values from the calculation:
The space group is I-42d, No. 122. The formation energy from the elements comes out at 896 meV/atom. The density of states at the Fermi level comes out at 1.79 states/eV/f.u.

```
8
Lattice="5.397 0.000 0.000 0.000 5.397 0.000 -2.699 -2.699 6.069" Properties=species:S:1:pos:R:3 pbc="T T T"
Ca 2.699 2.699 0.000
La 0.000 2.699 3.034
C -1.349 -1.418 4.552
Ca 2.699 0.000 3.034
C 1.349 1.418 4.552
C 4.117 1.349 1.517
C 1.280 4.048 1.517
La 0.000 0.000 0.000
```

Entry from Alexandria: a PBEsol-optimized structure of CaLa2C (SCAN).

Values from the calculation:
The space group is I-42d, No. 122. The formation energy from the elements comes out at 213 meV/atom. The density of states at the Fermi level comes out at 2.56 states/eV/f.u.

```
8
Lattice="6.710 0.421 0.709 -1.968 6.429 -0.709 -1.968 -3.704 5.303" Properties=species:S:1:pos:R:3 pbc="T T T"
Ca 0.000 0.000 0.000
La -0.659 2.989 3.652
La 2.449 0.838 2.799
La -0.906 -0.689 3.225
La 4.665 3.153 0.929
C -1.968 1.363 2.297
C 1.387 -0.960 4.154
Ca 1.387 4.106 1.148
```

Entry from Alexandria: a PBEsol-optimized structure of LiCaLa2C (SCAN).

Values from the calculation:
The space group is P4/mmm, No. 123. The formation energy from the elements comes out at 1405 meV/atom. The density of states at the Fermi level comes out at 3.11 states/eV/f.u.

```
5
Lattice="4.946 0.000 0.000 0.000 5.002 0.000 0.000 0.000 5.002" Properties=species:S:1:pos:R:3 pbc="T T T"
Ca 2.473 0.000 0.000
La 0.000 0.000 2.501
Li 0.000 0.000 0.000
C 2.473 2.501 2.501
La 0.000 2.501 0.000
```

Entry from Alexandria: a PBEsol-optimized structure of LiCa2C (SCAN).

Values from the calculation:
The space group is I-42d, No. 122. The formation energy from the elements comes out at 256 meV/atom. The density of states at the Fermi level comes out at 1.32 states/eV/f.u.

```
8
Lattice="-0.020 2.011 -3.565 -6.757 0.343 -2.118 -0.752 6.880 1.536" Properties=species:S:1:pos:R:3 pbc="T T T"
C -3.770 5.120 -2.965
C 0.000 0.000 0.000
Ca -2.708 7.310 -2.323
Li -0.010 1.005 -1.782
Ca -5.990 5.790 -1.987
Ca -1.545 3.947 -3.052
Li -3.760 4.114 -1.182
Ca -4.837 3.432 -4.498
```

Entry from Alexandria: a PBEsol-optimized structure of LiCaMn2C (SCAN).

Values from the calculation:
The space group is P4/mmm, No. 123. The formation energy from the elements comes out at 1785 meV/atom. The density of states at the Fermi level comes out at 2.17 states/eV/f.u.

```
5
Lattice="4.303 0.000 0.000 0.000 5.216 0.000 0.000 0.000 5.216" Properties=species:S:1:pos:R:3 pbc="T T T"
C 2.151 0.000 0.000
Mn 0.000 0.000 2.608
Mn 0.000 2.608 0.000
Li 2.151 2.608 2.608
Ca 0.000 0.000 0.000
```

Entry from Alexandria: a PBEsol-optimized structure of Ca3MgC (SCAN).

Values from the calculation:
The space group is Pm-3m, No. 221. The formation energy from the elements comes out at 1566 meV/atom. The density of states at the Fermi level comes out at 4.12 states/eV/f.u.

```
5
Lattice="5.907 0.000 0.000 0.000 5.907 0.000 0.000 0.000 5.907" Properties=species:S:1:pos:R:3 pbc="T T T"
C 2.953 2.953 2.953
Ca 2.953 0.000 0.000
Ca 0.000 2.953 0.000
Ca 0.000 0.000 2.953
Mg 0.000 0.000 0.000
```

Entry from Alexandria: a PBEsol-optimized structure of CaMg3C4O12 (SCAN).

Values from the calculation:
The space group is R32, No. 155. The formation energy from raw total energies comes out at -220.8 kJ per mole of atoms. The density of states at the Fermi level comes out at 0.00 states/eV/f.u.

```
20
Lattice="6.083 -0.016 -0.022 -1.380 5.924 -0.022 -1.380 -1.734 5.665" Properties=species:S:1:pos:R:3 pbc="T T T"
O 4.023 -0.937 3.496
Ca 0.000 0.000 0.000
O -1.816 2.275 4.563
O 1.662 -1.035 5.130
O 0.651 2.892 2.811
Mg 2.031 -0.949 3.066
O -0.700 0.556 5.508
O 4.705 2.787 0.491
O -1.382 4.510 2.811
O 5.139 0.464 2.125
O 0.699 5.434 1.058
O 2.624 4.732 0.113
O 1.662 1.050 3.581
C 1.662 5.582 0.215
C 1.662 2.087 2.811
Mg 2.672 2.699 -0.022
C -1.744 1.304 5.406
Mg -1.380 2.424 2.577
O 2.673 2.320 2.040
C 5.067 -0.624 2.811
```

Entry from Alexandria: a PBEsol-optimized structure of CaMg5P3CO16 (SCAN).

Values from the calculation:
The space group is P-1, No. 2. The formation energy from raw total energies comes out at -264.1 kJ per mole of atoms.

```
52
Lattice="6.318 -0.007 0.029 -0.514 8.727 -0.012 -2.052 -1.119 10.574" Properties=species:S:1:pos:R:3 pbc="T T T"
O 4.408 1.633 1.496
O 2.830 3.761 6.125
O 2.851 0.459 7.855
Mg 1.885 5.467 1.906
O 5.174 3.257 3.834
O -1.860 -0.046 9.677
O 0.902 7.142 2.736
O 0.573 5.894 6.302
Mg 3.083 3.678 4.043
O 3.516 3.282 8.186
O 1.108 0.231 5.444
P 3.710 6.901 4.140
C 3.755 3.781 7.025
Mg 0.670 3.923 6.548
Mg 0.681 7.098 4.719
Mg 3.071 0.503 5.873
O 0.546 1.998 7.128
Mg -1.253 6.406 7.073
O 0.435 0.818 2.495
Mg 3.652 8.295 1.065
P 0.042 0.700 6.451
C -0.003 3.820 3.566
O -1.307 6.673 4.911
O 3.206 5.603 3.463
O 2.146 -0.066 0.918
O -0.956 3.924 10.500
O 0.922 3.840 4.466
O -0.161 -0.393 7.520
O 5.612 7.647 0.914
Mg 5.005 1.195 3.519
O 5.059 0.928 5.680
Ca 0.489 2.703 0.684
O -0.655 5.968 9.095
O 3.102 6.356 0.372
O 3.180 1.707 4.289
P 3.649 2.795 0.825
O 0.650 1.245 10.219
O 2.644 7.370 5.147
Mg 0.101 -0.693 9.527
O 4.708 3.677 0.092
P 0.103 4.806 9.767
Ca 3.264 4.898 9.908
O 0.236 4.320 2.405
O 3.317 6.783 8.096
O -1.421 4.344 6.757
P 3.340 -0.666 8.824
Mg 1.867 2.134 8.685
O 0.985 4.070 8.733
O 1.606 7.668 9.673
O 3.913 7.994 3.071
O 2.768 3.531 1.858
P 0.412 8.267 1.767
```

Entry from Alexandria: a PBEsol-optimized structure of Ca3MnC (SCAN).

Values from the calculation:
The space group is Pm-3m, No. 221. The formation energy from the elements comes out at 299 meV/atom. The density of states at the Fermi level comes out at 5.48 states/eV/f.u.

```
5
Lattice="5.016 0.000 0.000 0.000 5.016 0.000 0.000 0.000 5.016" Properties=species:S:1:pos:R:3 pbc="T T T"
Mn 2.508 2.508 2.508
Ca 2.508 0.000 0.000
C 0.000 0.000 0.000
Ca 0.000 0.000 2.508
Ca 0.000 2.508 0.000
```

Entry from Alexandria: a PBEsol-optimized structure of CaMnC3 (SCAN).

Values from the calculation:
The space group is Pm-3m, No. 221. The formation energy from the elements comes out at 1061 meV/atom. The density of states at the Fermi level comes out at 3.25 states/eV/f.u.

```
5
Lattice="-1.770 -2.717 -1.927 2.844 -2.369 0.728 -1.734 -1.112 3.160" Properties=species:S:1:pos:R:3 pbc="T T T"
Ca -0.330 -3.099 0.980
C -0.885 -1.359 -0.964
Mn 0.000 0.000 0.000
C 1.422 -1.185 0.364
C -0.867 -0.556 1.580
```

Entry from Alexandria: a PBEsol-optimized structure of NaCaMnC2 (SCAN).

Values from the calculation:
The space group is P4/mmm, No. 123. The formation energy from the elements comes out at 2350 meV/atom. The density of states at the Fermi level comes out at 3.47 states/eV/f.u.

```
5
Lattice="4.582 0.000 0.000 0.000 4.582 0.000 0.000 0.000 5.067" Properties=species:S:1:pos:R:3 pbc="T T T"
Ca 0.000 0.000 0.000
Mn 0.000 0.000 2.533
C 0.000 2.291 0.000
Na 2.291 2.291 2.533
C 2.291 0.000 0.000
```

Entry from Alexandria: a PBEsol-optimized structure of CaTcMo2C (SCAN).

Values from the calculation:
The space group is P4/mmm, No. 123. The formation energy from the elements comes out at 484 meV/atom. The density of states at the Fermi level comes out at 3.71 states/eV/f.u.

```
5
Lattice="-0.740 2.529 -3.242 3.117 -1.866 -2.167 -2.759 -2.803 -1.556" Properties=species:S:1:pos:R:3 pbc="T T T"
Ca -0.191 -1.070 -3.482
Mo -1.380 -1.401 -0.778
Mo 1.559 -0.933 -1.083
Tc -0.370 1.264 -1.621
C 0.000 0.000 0.000
```

Entry from Alexandria: a PBEsol-optimized structure of CaCN2O (SCAN).

Values from the calculation:
The space group is P4/mmm, No. 123. The formation energy from raw total energies comes out at 65.0 kJ per mole of atoms. The density of states at the Fermi level comes out at 2.27 states/eV/f.u.

```
5
Lattice="3.061 0.000 0.000 0.000 3.061 0.000 0.000 0.000 5.740" Properties=species:S:1:pos:R:3 pbc="T T T"
O 0.000 0.000 2.870
C 0.000 0.000 0.000
Ca 1.530 1.530 2.870
N 1.530 0.000 0.000
N 0.000 1.530 0.000
```

Entry from Alexandria: a PBEsol-optimized structure of CaC2SN (SCAN).

Values from the calculation:
The space group is P4/mmm, No. 123. The formation energy from raw total energies comes out at 192.6 kJ per mole of atoms. The density of states at the Fermi level comes out at 2.09 states/eV/f.u.

```
5
Lattice="-2.645 2.132 -1.850 -2.808 -1.721 2.030 0.305 2.811 2.803" Properties=species:S:1:pos:R:3 pbc="T T T"
S 0.152 1.405 1.402
N 0.000 0.000 0.000
Ca -2.574 1.611 1.492
C -1.404 -0.860 1.015
C -1.322 1.066 -0.925
```

Entry from Alexandria: a PBEsol-optimized structure of CaTi2CN (SCAN).

Values from the calculation:
The space group is P4/mmm, No. 123. The formation energy from raw total energies comes out at 38.3 kJ per mole of atoms. The density of states at the Fermi level comes out at 3.71 states/eV/f.u.

```
5
Lattice="-3.300 -1.325 1.628 2.021 -1.186 3.131 -0.743 4.564 2.209" Properties=species:S:1:pos:R:3 pbc="T T T"
C -0.371 2.282 1.104
Ti -1.650 -0.662 0.814
Ti 1.011 -0.593 1.566
N 0.000 0.000 0.000
Ca -1.011 1.027 3.484
```

Entry from Alexandria: a PBEsol-optimized structure of Na2CaC2O6 (SCAN).

Values from the calculation:
The space group is Pbca, No. 61. The formation energy from raw total energies comes out at -207.2 kJ per mole of atoms. The density of states at the Fermi level comes out at 0.00 states/eV/f.u.

```
88
Lattice="8.743 0.000 0.000 0.000 10.008 0.000 0.000 0.000 12.275" Properties=species:S:1:pos:R:3 pbc="T T T"
O 7.559 3.164 11.965
O 0.429 4.838 9.592
C 7.641 1.264 3.397
O 2.837 1.418 7.319
O 8.247 7.412 2.706
C 7.641 6.268 2.740
Ca 2.574 6.220 8.824
Na 4.900 1.003 5.059
Na 8.214 6.007 7.215
O 7.209 3.586 7.319
O 5.906 8.590 4.955
O 3.875 2.596 3.431
O 5.555 8.168 0.309
Na 4.813 6.566 4.699
Na 3.930 3.443 7.576
Ca 6.169 3.788 3.451
O 0.429 9.843 8.820
Na 4.813 1.561 1.439
C 3.269 8.745 2.740
C 6.528 8.844 6.060
C 3.269 3.740 3.397
C 2.216 6.169 12.198
Ca 6.945 3.788 9.588
C 5.474 6.268 8.877
O 6.351 6.236 2.845
Na 0.442 3.443 1.439
C 5.474 1.264 9.535
O 6.076 9.794 6.834
Ca 1.798 6.220 2.686
O 8.247 2.408 3.431
O 0.496 2.596 9.569
Na 0.529 9.005 1.078
O 2.667 5.219 0.697
O 8.314 5.170 2.683
Ca 6.945 8.793 8.824
O 1.534 6.423 4.955
O 5.906 3.586 1.182
O 3.188 6.845 6.447
Ca 6.169 8.793 2.686
O 1.705 5.219 6.834
C 2.216 1.165 6.214
C 6.587 8.844 12.198
C 1.102 3.740 9.535
C 2.156 1.165 0.077
O 4.868 7.412 8.843
Ca 2.574 1.216 9.588
O 7.038 4.790 5.441
O 3.875 7.600 2.706
O 6.763 1.232 9.430
O 3.188 1.840 11.965
O 2.837 6.423 11.092
C 6.528 3.839 0.077
Na 3.843 4.001 11.197
O 1.184 1.840 5.828
O 5.555 3.164 5.828
O 2.392 3.772 9.430
Na 0.529 4.001 5.059
O 3.942 9.843 2.683
O 1.980 8.776 2.845
Na 3.843 9.005 7.215
O 1.705 0.215 11.578
O 4.801 5.170 8.820
O 1.534 1.418 1.182
O 4.801 0.166 9.592
O 4.868 2.408 9.569
Na 0.442 8.447 4.699
O 2.392 8.776 8.982
O 7.038 9.794 0.697
C 1.102 8.745 8.877
O 6.763 6.236 8.982
Na 8.214 1.003 11.197
O 1.980 3.772 3.292
O 1.184 6.845 0.309
Na 3.930 8.447 10.836
Ca 1.798 1.216 3.451
C 2.156 6.169 6.060
O 7.559 8.168 6.447
O 3.942 4.838 3.454
O 0.496 7.600 8.843
O 7.209 8.590 11.092
O 6.351 1.232 3.292
Na 4.900 6.007 1.078
Na 8.301 6.566 10.836
Na 8.301 1.561 7.576
C 6.587 3.839 6.214
O 8.314 0.166 3.454
O 2.667 0.215 5.441
O 6.076 4.790 11.578
```

Entry from Alexandria: a PBEsol-optimized structure of Na3CaPCO7 (SCAN).

Values from the calculation:
The space group is P2_1, No. 4. The formation energy from raw total energies comes out at -235.2 kJ per mole of atoms. The density of states at the Fermi level comes out at 0.00 states/eV/f.u.

```
26
Lattice="-3.865 -2.237 -2.636 -2.552 -2.564 5.919 -5.090 7.593 1.095" Properties=species:S:1:pos:R:3 pbc="T T T"
O -5.075 1.727 4.543
O -4.928 -2.995 2.566
Ca -7.210 -1.924 2.047
O -5.909 -1.276 0.286
O -3.649 1.518 1.012
Na -7.606 5.063 6.931
C -4.538 -1.931 3.195
O -6.448 3.215 6.063
O -6.133 3.760 0.911
O -5.308 -0.900 3.312
Na -6.999 0.153 5.074
O -6.361 1.137 -0.331
C -6.901 4.793 1.024
O -6.510 5.856 1.653
Na -5.106 -3.481 0.243
O -8.093 4.765 0.495
P -2.357 1.934 1.745
O -4.994 -0.361 -1.848
Ca -4.229 4.784 2.173
Na -5.719 1.423 2.112
O -3.344 -1.902 3.720
O -7.792 1.340 3.213
Na -7.873 3.450 4.078
P -9.082 0.927 2.474
O -5.527 4.144 3.938
Na -3.559 -0.582 0.126
```